VASP calculation (meta-GGA SCAN) on CaTmCd2 at its PBEsol-relaxed geometry.

ΔE_f: -422 meV per atom
Space-group type: Fm-3m

Cell: 5.204 5.204 5.204 Å, 60.00 60.00 60.00°
Atoms (fractional coordinates):
Ca  0.500  0.500  0.500
Tm  0.000  0.000  0.000
Cd  0.750  0.750  0.750
Cd  0.250  0.250  0.250


VASP calculation (meta-GGA SCAN) on MgReOs2 at its PBEsol-relaxed geometry.

ΔE_f: 263 meV per atom
Space-group type: Cmmm

Cell: 2.751 4.691 4.691 Å, 105.40 90.00 90.00°
Atoms (fractional coordinates):
Mg  0.500  0.500  0.500
Os  0.000  0.500  0.000
Os  0.000  0.000  0.500
Re  0.500  0.000  0.000


VASP calculation (meta-GGA SCAN) on BaTm2CoO5 at its PBEsol-relaxed geometry.

E_tot: -879.9 eV for the cell shown
Space-group type: Pnma

Cell: 5.615 6.908 12.035 Å, 90.00 90.00 90.00°
Last column: magnetic moment on the atom in μB.
Atoms (fractional coordinates):
Ba  0.250  0.920  0.900  -0.01
Ba  0.750  0.080  0.100  -0.01
Ba  0.750  0.420  0.600  -0.01
Ba  0.250  0.580  0.400  -0.01
Tm  0.250  0.121  0.292  -0.02
Tm  0.750  0.879  0.708  -0.02
Tm  0.750  0.621  0.208  -0.02
Tm  0.250  0.379  0.792  -0.02
Tm  0.250  0.405  0.075  0.06
Tm  0.750  0.595  0.925  0.06
Tm  0.750  0.905  0.425  0.06
Tm  0.250  0.095  0.575  0.06
Co  0.250  0.691  0.653  2.50
Co  0.750  0.309  0.347  2.50
Co  0.750  0.191  0.847  2.50
Co  0.250  0.809  0.153  2.50
O  0.997  0.169  0.436  0.06
O  0.497  0.831  0.564  0.06
O  0.003  0.669  0.064  0.06
O  0.503  0.331  0.936  0.06
O  0.003  0.831  0.564  0.06
O  0.503  0.169  0.436  0.06
O  0.997  0.331  0.936  0.06
O  0.497  0.669  0.064  0.06
O  0.499  0.364  0.225  0.06
O  0.999  0.636  0.775  0.06
O  0.501  0.864  0.275  0.06
O  0.001  0.136  0.725  0.06
O  0.501  0.636  0.775  0.06
O  0.001  0.364  0.225  0.06
O  0.499  0.136  0.725  0.06
O  0.999  0.864  0.275  0.06
O  0.250  0.078  0.104  0.09
O  0.750  0.922  0.896  0.09
O  0.750  0.578  0.396  0.09
O  0.250  0.422  0.604  0.09


VASP calculation (meta-GGA SCAN) on ScSi2Pd at its PBEsol-relaxed geometry.

E_tot: -68.3 eV for the cell shown
Space-group type: Fm-3m

Cell: 4.421 4.421 4.421 Å, 60.00 60.00 60.00°
Atoms (fractional coordinates):
Sc  0.000  0.000  0.000
Si  0.250  0.250  0.250
Si  0.750  0.750  0.750
Pd  0.500  0.500  0.500


It is found that the size of the total moment values, taken in the order of the records, are 0.0 0.0 11.8 0.0 μB per cell.